LaTm12Th6: relaxed, PBE.

It has space group R-3m (No. 166, hexagonal axes), with a = 14.7384 Å, b = 14.7384 Å, c = 10.5179 Å, α = 90.00°, β = 90.00° and γ = 120.00°. The asymmetric unit holds La at (0.0000, 0.0000, 0.0000), Tm at (0.0000, 0.3881, 0.5000), Tm at (0.0799, 0.1599, 0.2566) and Th at (0.0776, 0.5388, 0.2176).

Its energy of formation is 9.70 eV/f.u. As for the total magnetization: 0.0 μB per cell.



LaTmTh: relaxed, PBE.

It has space group P4/nmm (No. 129, origin choice 2), with a = 4.210 Å, b = 4.210 Å, c = 11.321 Å, α = 90.00°, β = 90.00° and γ = 90.00°. The asymmetric unit holds La at (0.250, 0.250, 0.100), Tm at (0.250, 0.250, 0.733) and Th at (0.250, 0.250, 0.419).

For the offset from the most stable computed form, the calculation gives 6.0 kJ/mol of atoms. Its energy of formation is 0.29 eV/f.u. As for the total magnetization: 0.0 μB per cell.



La2TmTh: relaxed, PBE.

It has space group Fm-3m (No. 225), with a = 8.191 Å, b = 8.191 Å, c = 8.191 Å, α = 90.00°, β = 90.00° and γ = 90.00°. The asymmetric unit holds La at (0.250, 0.250, 0.250), Tm at (0.000, 0.000, 0.000) and Th at (0.000, 0.000, 0.500).

For the offset from the most stable computed form, the calculation gives 17.7 kJ/mol of atoms. Its energy of formation is 0.83 eV/f.u. As for the total magnetization: 0.0 μB per cell.



LaTmTh: relaxed, PBE.

It has space group P-6m2 (No. 187), with a = 5.7409 Å, b = 5.7409 Å, c = 3.4669 Å, α = 90.00°, β = 90.00° and γ = 120.00°. The asymmetric unit holds La at (0.0000, 0.0000, 0.0000), Tm at (0.6667, 0.3333, 0.5000) and Th at (0.3333, 0.6667, 0.0000).

For the offset from the most stable computed form, the calculation gives 5.7 kJ/mol of atoms. Its energy of formation is 0.28 eV/f.u. As for the total magnetization: 0.0 μB per cell.



La2Tm2Th: relaxed, PBE.

It has space group Cmmm (No. 65), with a = 5.126 Å, b = 17.977 Å, c = 3.580 Å, α = 90.00°, β = 90.00° and γ = 90.00°. The asymmetric unit holds La at (0.000, 0.195, 0.000), Tm at (0.000, 0.404, 0.500) and Th at (0.000, 0.000, 0.000).

For the offset from the most stable computed form, the calculation gives 3.9 kJ/mol of atoms. Its energy of formation is 0.30 eV/f.u. As for the total magnetization: 0.0 μB per cell.



La2Tm5Th4: relaxed, PBE.

It has space group P-1 (No. 2), with a = 3.582 Å, b = 8.689 Å, c = 11.893 Å, α = 105.22°, β = 98.66° and γ = 90.00°. The asymmetric unit holds La at (0.228, 0.318, 0.457), Tm at (0.322, 0.059, 0.644), Tm at (0.413, 0.779, 0.826), Tm at (0.500, 0.500, 0.000), Th at (0.045, 0.863, 0.091) and Th at (0.133, 0.589, 0.267).

Its energy of formation is 0.36 eV/f.u. As for the total magnetization: 0.0 μB per cell.



La2TmTh: relaxed, PBE.

It has space group R3m (No. 160, hexagonal axes), with a = 3.6351 Å, b = 3.6351 Å, c = 35.4143 Å, α = 90.00°, β = 90.00° and γ = 120.00°. The asymmetric unit holds La at (0.0000, 0.0000, 0.0000), La at (0.0000, 0.0000, 0.1683), Tm at (0.0000, 0.0000, 0.7508) and Th at (0.0000, 0.0000, 0.5835).

For the offset from the most stable computed form, the calculation gives 1.4 kJ/mol of atoms. Its energy of formation is 0.15 eV/f.u. As for the total magnetization: 0.0 μB per cell.



La3Tm3Th2: relaxed, PBE.

It has space group P-1 (No. 2), with a = 5.855 Å, b = 6.105 Å, c = 8.636 Å, α = 110.39°, β = 109.76° and γ = 90.25°. The asymmetric unit holds La at (0.000, 0.000, 0.000), La at (0.144, 0.701, 0.286), Tm at (0.372, 0.914, 0.741), Tm at (0.500, 0.500, 0.000) and Th at (0.252, 0.322, 0.505).

Its energy of formation is 0.88 eV/f.u. As for the total magnetization: 0.0 μB per cell.



LaTm2Th3: relaxed, PBE.

It has space group C2/c (No. 15), with a = 17.523 Å, b = 7.106 Å, c = 6.208 Å, α = 90.00°, β = 90.44° and γ = 90.00°. The asymmetric unit holds La at (0.000, 0.133, 0.250), Tm at (0.171, 0.127, 0.584), Th at (0.000, 0.376, 0.750) and Th at (0.166, 0.380, 0.081).

Its energy of formation is 0.29 eV/f.u. As for the total magnetization: 0.0 μB per cell.



La2Tm8Th: relaxed, PBE.

It has space group C2/m (No. 12), with a = 18.075 Å, b = 5.036 Å, c = 7.935 Å, α = 90.00°, β = 105.25° and γ = 90.00°. The asymmetric unit holds La at (0.228, 0.000, 0.135), Tm at (0.043, 0.000, 0.231), Tm at (0.088, 0.500, 0.951), Tm at (0.133, 0.000, 0.673), Tm at (0.179, 0.500, 0.406) and Th at (0.000, 0.500, 0.500).

Its energy of formation is 0.43 eV/f.u. As for the total magnetization: 0.0 μB per cell.



LaTmTh: relaxed, PBE.

It has space group P2_1/c (No. 14), with a = 8.861 Å, b = 6.933 Å, c = 6.688 Å, α = 90.00°, β = 101.91° and γ = 90.00°. The asymmetric unit holds La at (0.168, 0.090, 0.158), Tm at (0.179, 0.597, 0.137) and Th at (0.496, 0.227, 0.571).

For the offset from the most stable computed form, the calculation gives 12.5 kJ/mol of atoms. Its energy of formation is 0.49 eV/f.u. As for the total magnetization: 0.0 μB per cell.



La12Tm7Th: relaxed, PBE.

It has space group R-3 (No. 148, hexagonal axes), with a = 19.5874 Å, b = 19.5874 Å, c = 6.3689 Å, α = 90.00°, β = 90.00° and γ = 120.00°. The asymmetric unit holds La at (0.0000, 0.4065, 0.4988), La at (0.0963, 0.5479, 0.9714), Tm at (0.0000, 0.0000, 0.5000), Tm at (0.0828, 0.1659, 0.7950) and Th at (0.0000, 0.0000, 0.0000).

For the offset from the most stable computed form, the calculation gives 4.5 kJ/mol of atoms. Its energy of formation is 4.77 eV/f.u. As for the total magnetization: 0.0 μB per cell.



La4TmTh2: relaxed, PBE.

It has space group R-3m (No. 166, hexagonal axes), with a = 3.6445 Å, b = 3.6445 Å, c = 62.8917 Å, α = 90.00°, β = 90.00° and γ = 120.00°. The asymmetric unit holds La at (0.0000, 0.0000, 0.0968), La at (0.0000, 0.0000, 0.3796), Tm at (0.0000, 0.0000, 0.0000) and Th at (0.0000, 0.0000, 0.1895).

Its energy of formation is 0.29 eV/f.u. As for the total magnetization: 0.0 μB per cell.



La2TmTh: relaxed, PBE.

It has space group R-3m (No. 166, hexagonal axes), with a = 3.6344 Å, b = 3.6344 Å, c = 35.3105 Å, α = 90.00°, β = 90.00° and γ = 120.00°. The asymmetric unit holds La at (0.0000, 0.0000, 0.2490), Tm at (0.0000, 0.0000, 0.0000) and Th at (0.0000, 0.0000, 0.5000).

For the offset from the most stable computed form, the calculation gives 1.7 kJ/mol of atoms. Its energy of formation is 0.16 eV/f.u. As for the total magnetization: 0.0 μB per cell.



La12Tm3Th: relaxed, PBE.

It has space group P4/mmm (No. 123), with a = 5.197 Å, b = 5.197 Å, c = 20.768 Å, α = 90.00°, β = 90.00° and γ = 90.00°. The asymmetric unit holds La at (0.000, 0.000, 0.000), La at (0.000, 0.000, 0.247), La at (0.000, 0.000, 0.500), La at (0.000, 0.500, 0.125), La at (0.000, 0.500, 0.378), Tm at (0.500, 0.500, 0.000), Tm at (0.500, 0.500, 0.249) and Th at (0.500, 0.500, 0.500).

Its energy of formation is 0.32 eV/f.u. As for the total magnetization: 0.0 μB per cell.



La6TmTh3: relaxed, PBE.

It has space group R3 (No. 146, hexagonal axes), with a = 10.1023 Å, b = 10.1023 Å, c = 12.3922 Å, α = 90.00°, β = 90.00° and γ = 120.00°. The asymmetric unit holds La at (0.0001, 0.3240, 0.0000), La at (0.0009, 0.6766, 0.5019), Tm at (0.0000, 0.0000, 0.2513), Th at (0.0000, 0.0000, 0.0028), Th at (0.0000, 0.0000, 0.5003) and Th at (0.0000, 0.0000, 0.7513).

Its energy of formation is 2.54 eV/f.u. As for the total magnetization: 0.0 μB per cell.



La2Tm4Th3: relaxed, PBE.

It has space group P3m1 (No. 156), with a = 3.5540 Å, b = 3.5540 Å, c = 26.7353 Å, α = 90.00°, β = 90.00° and γ = 120.00°. The asymmetric unit holds La at (0.0000, 0.0000, 0.0000), La at (0.0000, 0.0000, 0.2252), Tm at (0.0000, 0.0000, 0.3531), Tm at (0.0000, 0.0000, 0.5682), Tm at (0.3333, 0.6667, 0.6718), Tm at (0.3333, 0.6667, 0.8869), Th at (0.0000, 0.0000, 0.7800), Th at (0.3333, 0.6667, 0.1131) and Th at (0.3333, 0.6667, 0.4585).

Its energy of formation is 0.70 eV/f.u. As for the total magnetization: 0.0 μB per cell.



La12TmTh7: relaxed, PBE.

It has space group Im-3 (No. 204), with a = 11.738 Å, b = 11.738 Å, c = 11.738 Å, α = 90.00°, β = 90.00° and γ = 90.00°. The asymmetric unit holds La at (0.000, 0.307, 0.216), Tm at (0.000, 0.000, 0.000), Th at (0.000, 0.000, 0.500) and Th at (0.250, 0.250, 0.250).

Its energy of formation is 15.91 eV/f.u. As for the total magnetization: 4.2 μB per cell.



La4Tm7Th: relaxed, PBE.

It has space group C2/m (No. 12), with a = 12.167 Å, b = 5.961 Å, c = 12.854 Å, α = 90.00°, β = 117.94° and γ = 90.00°. The asymmetric unit holds La at (0.058, 0.000, 0.341), La at (0.141, 0.500, 0.779), Tm at (0.000, 0.000, 0.000), Tm at (0.139, 0.500, 0.507), Tm at (0.211, 0.000, 0.924), Tm at (0.239, 0.500, 0.310) and Th at (0.000, 0.500, 0.000).

Its energy of formation is 3.40 eV/f.u. As for the total magnetization: 0.0 μB per cell.



La4Tm4Th: relaxed, PBE.

It has space group I4/mmm (No. 139), with a = 10.850 Å, b = 10.850 Å, c = 5.098 Å, α = 90.00°, β = 90.00° and γ = 90.00°. The asymmetric unit holds La at (0.000, 0.328, 0.000), Tm at (0.162, 0.162, 0.500) and Th at (0.000, 0.000, 0.000).

Its energy of formation is 0.33 eV/f.u. As for the total magnetization: 0.0 μB per cell.



La2Tm3Th3: relaxed, PBE.

It has space group P-62m (No. 189), with a = 9.0794 Å, b = 9.0794 Å, c = 3.6743 Å, α = 90.00°, β = 90.00° and γ = 120.00°. The asymmetric unit holds La at (0.3333, 0.6667, 0.0000), Tm at (0.0000, 0.6100, 0.5000) and Th at (0.0000, 0.2265, 0.0000).

Its energy of formation is 1.39 eV/f.u. As for the total magnetization: 0.0 μB per cell.



La4Tm2Th: relaxed, PBE.

It has space group P-42m (No. 111), with a = 8.292 Å, b = 8.292 Å, c = 3.547 Å, α = 90.00°, β = 90.00° and γ = 90.00°. The asymmetric unit holds La at (0.209, 0.209, 0.002), Tm at (0.000, 0.500, 0.500) and Th at (0.500, 0.500, 0.000).

Its energy of formation is 2.00 eV/f.u. As for the total magnetization: 0.0 μB per cell.